[1]
Crystalline TaPdRh2 at its relaxed geometry. Source: Alexandria, functional PBE.

Calculated density, g/cm3: 13.3
Size of the total moment, μB per formula unit: 0.0
Uncorrected energy, eV per atom: -8.282
Formation energy from the elements, eV per atom: -0.345
Energy relative to the lowest polymorph listed for this composition, meV per atom: 196

a b c (Å): 4.430 4.430 4.430
angles (deg): 60.00 60.00 60.00
Fractional coordinates of all 4 atoms:
Rh 0.250 0.250 0.250
Rh 0.750 0.750 0.750
Pd 0.000 0.000 0.000
Ta 0.500 0.500 0.500

=====

[2]
Crystalline Tb4ErAg2 at its relaxed geometry. Source: Alexandria, functional PBE.

Calculated density, g/cm3: 8.0
Size of the total moment, μB per formula unit: 0.0
Uncorrected energy, eV per atom: -4.002
Formation energy from the elements, eV per atom: 0.110

a b c (Å): 5.426 5.426 8.891
angles (deg): 72.23 72.23 60.00
Fractional coordinates of all 7 atoms:
Tb 0.730 0.730 0.810
Tb 0.873 0.873 0.380
Tb 0.270 0.270 0.190
Tb 0.127 0.127 0.620
Er 0.500 0.500 0.500
Ag 0.613 0.613 0.162
Ag 0.387 0.387 0.838

=====

[3]
Crystalline AlCrH3 at its relaxed geometry. Source: Alexandria, functional PBE.

Calculated density, g/cm3: 3.9
Size of the total moment, μB per formula unit: 0.0
Uncorrected energy, eV per atom: -4.692
Energy relative to the lowest polymorph listed for this composition, meV per atom: 0

a b c (Å): 4.366 4.906 4.371
angles (deg): 116.48 119.96 90.00
Fractional coordinates of all 10 atoms:
Al 0.396 0.687 0.792
Al 0.604 0.313 0.208
Cr 0.809 0.926 0.618
Cr 0.191 0.074 0.382
H 0.918 0.712 0.293
H 0.082 0.289 0.164
H 0.375 0.712 0.293
H 0.625 0.288 0.707
H 0.082 0.288 0.707
H 0.918 0.711 0.836

=====

[4]
Crystalline CsRb2Pa3S8 at its relaxed geometry. Source: Alexandria, functional PBE.

Energy relative to the elements, uncorrected, meV per atom: -1530
Calculated density, g/cm3: 4.3
Size of the total moment, μB per formula unit: 2.0
Uncorrected energy, eV per atom: -6.122

a b c (Å): 8.319 8.319 9.395
angles (deg): 63.72 63.72 60.00
Fractional coordinates of all 14 atoms:
Cs 0.864 0.864 0.408
Rb 0.131 0.131 0.607
Rb 0.500 0.500 0.500
Pa 0.499 0.000 0.001
Pa 0.000 0.499 0.001
Pa 0.499 0.499 0.001
S 0.274 0.274 0.179
S 0.724 0.724 0.828
S 0.244 0.244 0.824
S 0.688 0.244 0.824
S 0.244 0.688 0.824
S 0.755 0.315 0.175
S 0.315 0.755 0.175
S 0.755 0.755 0.175

=====

Please write out number 1 again, unchanged.
Crystalline TaPdRh2 at its relaxed geometry. Source: Alexandria, functional PBE.

Calculated density, g/cm3: 13.3
Size of the total moment, μB per formula unit: 0.0
Uncorrected energy, eV per atom: -8.282
Formation energy from the elements, eV per atom: -0.345
Energy relative to the lowest polymorph listed for this composition, meV per atom: 196

a b c (Å): 4.430 4.430 4.430
angles (deg): 60.00 60.00 60.00
Fractional coordinates of all 4 atoms:
Rh 0.250 0.250 0.250
Rh 0.750 0.750 0.750
Pd 0.000 0.000 0.000
Ta 0.500 0.500 0.500